Record 1
Zn12CdPd6 after structural relaxation. Source: Alexandria via LeMat-Bulk, functional PBE-GGA. Values from VASP.

Summary:
energy above the lowest structure with this stoichiometry: 0.051 eV per atom
calculated volume: 317.61 Å³/cell
Fermi-level density of states: 5.34 states/eV/f.u.
density: 8.03 g/cm³
spin magnetization: 0.00 μB/f.u.
ΔE_f: -0.228 eV/atom

Cell and atoms, written as Quantum ESPRESSO input:
```
&SYSTEM
  ibrav = 0, nat = 19, ntyp = 3
/
ATOMIC_SPECIES
Zn 65.41 Zn.upf
Pd 106.42 Pd.upf
Cd 112.41 Cd.upf
CELL_PARAMETERS angstrom
7.2859 -0.2176 -0.3065
-2.0169 7.0045 -0.3065
-2.0169 -2.5980 6.5121
ATOMIC_POSITIONS crystal
Zn 0.8789 0.6398 0.6398
Zn 0.3602 0.3602 0.1211
Zn 0.1136 0.5000 0.8864
Zn 0.6398 0.6398 0.8789
Zn 0.5000 0.1136 0.8864
Zn 0.8864 0.1136 0.5000
Zn 0.3602 0.1211 0.3602
Zn 0.6398 0.8789 0.6398
Zn 0.1136 0.8864 0.5000
Zn 0.5000 0.8864 0.1136
Zn 0.1211 0.3602 0.3602
Zn 0.8864 0.5000 0.1136
Pd 0.2919 0.7017 0.7017
Pd 0.2983 0.7081 0.2983
Pd 0.7081 0.2983 0.2983
Pd 0.7017 0.7017 0.2919
Pd 0.2983 0.2983 0.7081
Pd 0.7017 0.2919 0.7017
Cd 0.0000 0.0000 0.0000
```


Record 2
Pr3Sm2YHo6 after structural relaxation. Source: Alexandria via LeMat-Bulk, functional PBE-GGA. Values from VASP.

Summary:
calculated volume: 392.55 Å³/cell
Fermi-level density of states: 14.60 states/eV/f.u.
density: 7.62 g/cm³
spin magnetization: 0.00 μB/f.u.
ΔE_f: 0.017 eV/atom

Cell and atoms, written as Quantum ESPRESSO input:
```
&SYSTEM
  ibrav = 0, nat = 12, ntyp = 4
/
ATOMIC_SPECIES
Ho 164.93 Ho.upf
Y 88.91 Y.upf
Sm 150.36 Sm.upf
Pr 140.91 Pr.upf
CELL_PARAMETERS angstrom
-5.2777 2.8447 -1.7154
0.1231 -3.4875 5.1682
4.7286 9.5777 5.1005
ATOMIC_POSITIONS crystal
Ho 0.4165 0.0828 0.2475
Ho 0.0828 0.4165 0.2475
Ho 0.2508 0.2508 0.7523
Ho 0.5835 0.9172 0.7525
Ho 0.7492 0.7492 0.2477
Ho 0.9172 0.5835 0.7525
Y 0.0000 0.0000 0.0000
Sm 0.3335 0.6665 0.0000
Sm 0.6665 0.3335 0.0000
Pr 0.8333 0.1667 0.5000
Pr 0.5000 0.5000 0.5000
Pr 0.1667 0.8333 0.5000
```


Record 3
InN2Cl after structural relaxation. Source: Alexandria via LeMat-Bulk, functional PBE-GGA. Values from VASP.

Summary:
energy above the lowest structure with this stoichiometry: 1.025 eV per atom
calculated volume: 55.01 Å³/cell
Fermi-level density of states: 4.42 states/eV/f.u.
energy relative to the elements, uncorrected: 8.06 eV per formula unit
density: 5.38 g/cm³
spin magnetization: 2.70 μB/f.u.

Cell and atoms, written as Quantum ESPRESSO input:
```
&SYSTEM
  ibrav = 0, nat = 4, ntyp = 3
/
ATOMIC_SPECIES
N 14.01 N.upf
Cl 35.45 Cl.upf
In 114.82 In.upf
CELL_PARAMETERS angstrom
0.0000 3.0186 3.0186
3.0186 0.0000 3.0186
3.0186 3.0186 0.0000
ATOMIC_POSITIONS crystal
N 0.2500 0.2500 0.2500
N 0.7500 0.7500 0.7500
Cl 0.0000 0.0000 0.0000
In 0.5000 0.5000 0.5000
```


> spin magnetization of number 3 (InN2Cl)?

2.70 μB/f.u.